[1]
# PmV2Ir2

Crystalline PmV2Ir2 at its relaxed geometry (PBE, Alexandria).

Computed properties:
Energy of formation ... -52 kJ per mole of atoms

abc: 4.249 4.249 10.305
angles: 90.00 90.00 90.00
Space group I4/mmm (No. 139)
Unique sites:
Pm (0.000, 0.000, 0.000) x2
V (0.000, 0.500, 0.250) x4
Ir (0.000, 0.000, 0.371) x4

***

[2]
# LaCd2Se

Crystalline LaCd2Se at its relaxed geometry (PBE, Alexandria).

Computed properties:
Formation energy (no corrections) ... -0.63 eV/atom

abc: 4.8248 4.8248 19.4562
angles: 90.00 90.00 120.00
Space group R3m (No. 160, hexagonal axes)
Unique sites:
La (0.0000, 0.0000, 0.0000) x3
Cd (0.0000, 0.0000, 0.2243) x3
Cd (0.0000, 0.0000, 0.5539) x3
Se (0.0000, 0.0000, 0.7240) x3

***

[3]
# SrSmTlPd

Crystalline SrSmTlPd at its relaxed geometry (PBE, Alexandria).

Computed properties:
Energy of formation ... -40 kJ per mole of atoms

abc: 7.622 7.622 7.622
angles: 90.00 90.00 90.00
Space group F-43m (No. 216)
Unique sites:
Sr (0.000, 0.000, 0.000) x4
Sm (0.000, 0.000, 0.500) x4
Tl (0.250, 0.250, 0.750) x4
Pd (0.250, 0.250, 0.250) x4

***

[4]
# LiDy2Pb3S6

Crystalline LiDy2Pb3S6 at its relaxed geometry (PBE, Alexandria).

Computed properties:
Formation energy (no corrections) ... -1.16 eV/atom

abc: 17.874 3.964 8.821
angles: 90.00 109.22 90.00
Space group C2/m (No. 12)
Unique sites:
Li (0.000, 0.000, 0.000) x2
Dy (0.158, 0.500, 0.332) x4
Pb (0.000, 0.000, 0.500) x2
Pb (0.169, 0.500, 0.861) x4
S (0.001, 0.500, 0.753) x4
S (0.150, 0.000, 0.118) x4
S (0.175, 0.000, 0.562) x4

***

[5]
# La4SmGa5

Crystalline La4SmGa5 at its relaxed geometry (PBE, Alexandria).

Computed properties:
Energy of formation ... -55 kJ per mole of atoms

abc: 3.741 3.741 18.809
angles: 90.00 90.00 90.00
Space group P4/mmm (No. 123)
Unique sites:
La (0.000, 0.000, 0.101) x2
La (0.000, 0.000, 0.304) x2
Sm (0.000, 0.000, 0.500) x1
Ga (0.500, 0.500, 0.000) x1
Ga (0.500, 0.500, 0.202) x2
Ga (0.500, 0.500, 0.408) x2

***

[6]
# GaAg2Bi

Crystalline GaAg2Bi at its relaxed geometry (PBE, Alexandria).

Computed properties:
Energy above the most stable polymorph in this dataset ... 0 meV per atom
Energy of formation ... 8 kJ per mole of atoms

abc: 4.5540 4.5540 14.8164
angles: 90.00 90.00 120.00
Space group R-3m (No. 166, hexagonal axes)
Unique sites:
Ga (0.0000, 0.0000, 0.0000) x3
Ag (0.0000, 0.0000, 0.2804) x6
Bi (0.0000, 0.0000, 0.5000) x3

***

Number 1: calculated total energy -86.85 eV for the cell shown. Number 2: calculated total energy -38.29 eV for the cell shown. Number 3: calculated total energy -62.48 eV for the cell shown. Number 4: calculated total energy -121.89 eV for the cell shown. Number 5: calculated total energy -45.26 eV for the cell shown. Number 6: calculated total energy -36.89 eV for the cell shown.